No. 1
SiMoPb2 after structural relaxation, computed with PBE.

Cell lengths 3.2542, 3.2542, 8.3884 Å; angles 90.00, 90.00, 90.00 degrees
With the nearest neighbours (Å) after each atom.
Space group P4/mmm (No. 123)
Symmetry-distinct sites (fractional):
Si 0.0000 0.0000 0.0000 x1  8 Pb 3.19, 4 Si 3.25
Mo 0.0000 0.0000 0.5000 x1  8 Pb 3.03, 4 Mo 3.25
Pb 0.5000 0.5000 0.2642 x2  4 Mo 3.03, 4 Si 3.19, 4 Pb 3.25

Values from the calculation:
The value obtained for the volume is 22.2 Å³ per atom. The density of states at the Fermi level comes out at 4.14 states/eV per cell. As for the formation energy without anion corrections: 0.858 eV per atom. For the calculated density, the calculation gives 10.06 Mg/m³.

---

No. 2
Hf3Co8Tc after structural relaxation, computed with PBE.

Cell lengths 4.8161, 4.8161, 23.6160 Å; angles 90.00, 90.00, 120.00 degrees
With the nearest neighbours (Å) after each atom.
Space group R3m (No. 160, hexagonal axes)
Symmetry-distinct sites (fractional):
Hf 0.0000 0.0000 0.0000 x3  12 Co 2.82-2.84, 4 Hf 3.03-3.07
Hf 0.0000 0.0000 0.1299 x3  12 Co 2.71-2.89, 3 Tc 2.88
Hf 0.0000 0.0000 0.6162 x3  12 Co 2.73-3.00, 1 Tc 2.85, 3 Hf 3.03
Co 0.0000 0.0000 0.3115 x3  6 Co 2.41-2.43
Co 0.0000 0.0000 0.8118 x3  6 Co 2.40
Co 0.0002 0.5001 0.0623 x9  6 Co 2.40-2.43
Co 0.0019 0.5010 0.5615 x9  6 Co 2.39-2.42
Tc 0.0000 0.0000 0.4956 x3  12 Co 2.74-2.87, 4 Hf 2.85-2.88

Values from the calculation:
The value obtained for the volume is 13.2 Å³ per atom. The calculated formation energy is -3.17 eV/f.u. The density of states at the Fermi level comes out at 52.57 states/eV per cell. For the calculated density, the calculation gives 11.60 Mg/m³.

---

Please write out number 1 again, unchanged.
SiMoPb2 after structural relaxation, computed with PBE.

Cell lengths 3.2542, 3.2542, 8.3884 Å; angles 90.00, 90.00, 90.00 degrees
With the nearest neighbours (Å) after each atom.
Space group P4/mmm (No. 123)
Symmetry-distinct sites (fractional):
Si 0.0000 0.0000 0.0000 x1  8 Pb 3.19, 4 Si 3.25
Mo 0.0000 0.0000 0.5000 x1  8 Pb 3.03, 4 Mo 3.25
Pb 0.5000 0.5000 0.2642 x2  4 Mo 3.03, 4 Si 3.19, 4 Pb 3.25

Values from the calculation:
The value obtained for the volume is 22.2 Å³ per atom. The density of states at the Fermi level comes out at 4.14 states/eV per cell. As for the formation energy without anion corrections: 0.858 eV per atom. For the calculated density, the calculation gives 10.06 Mg/m³.